# Li2ZnH6Pd | the Alexandria database | GGA-PBE | relaxed
# Calculated total energy (eV per atom): -3.185
# Crystal system: triclinic
data_Li2ZnH6Pd
_chemical_formula_sum 'Li2 Zn1 H6 Pd1'
_space_group_name_H-M_alt 'P 1'
_space_group_IT_number 1
_space_group_name_Hall 'P 1'
_cell_length_a 4.975
_cell_length_b 4.975
_cell_length_c 4.976
_cell_angle_alpha 119.90
_cell_angle_beta 119.89
_cell_angle_gamma 90.15
loop_
_atom_site_label
_atom_site_fract_x
_atom_site_fract_y
_atom_site_fract_z
Li1 0.000 0.000 0.000
Li2 0.499 0.502 0.000
Zn1 0.748 0.250 0.498
H1 0.000 0.994 0.496
H2 0.001 0.502 0.499
H3 0.002 0.503 0.005
H4 0.493 0.996 0.991
H5 0.495 0.504 0.498
H6 0.495 0.998 0.499
Pd1 0.248 0.750 0.498

# LiZn2HPd | the Alexandria database | GGA-PBE | relaxed
# Calculated total energy (eV per atom): -2.844
# Crystal system: tetragonal
data_LiZn2HPd
_chemical_formula_sum 'Li1 Zn2 H1 Pd1'
_space_group_name_H-M_alt 'P 4/m m m'
_space_group_IT_number 123
_space_group_name_Hall '-P 4 2'
_cell_length_a 4.037
_cell_length_b 4.037
_cell_length_c 3.594
_cell_angle_alpha 90.00
_cell_angle_beta 90.00
_cell_angle_gamma 90.00
loop_
_atom_site_label
_atom_site_fract_x
_atom_site_fract_y
_atom_site_fract_z
Li1 0.000 0.000 0.000
Zn1 0.000 0.500 0.500
H1 0.000 0.000 0.500
Pd1 0.500 0.500 0.000

# LiZnH2Pd5 | the Alexandria database | GGA-PBE | relaxed
# Calculated total energy (eV per atom): -4.178
# Crystal system: tetragonal
data_LiZnH2Pd5
_chemical_formula_sum 'Li1 Zn1 H2 Pd5'
_space_group_name_H-M_alt 'P 4/m m m'
_space_group_IT_number 123
_space_group_name_Hall '-P 4 2'
_cell_length_a 3.915
_cell_length_b 3.915
_cell_length_c 7.726
_cell_angle_alpha 90.00
_cell_angle_beta 90.00
_cell_angle_gamma 90.00
loop_
_atom_site_label
_atom_site_fract_x
_atom_site_fract_y
_atom_site_fract_z
Li1 0.000 0.000 0.000
Zn1 0.500 0.500 0.500
H1 0.000 0.000 0.247
Pd1 0.000 0.000 0.500
Pd2 0.000 0.500 0.238

# Li2ZnHPd | the Alexandria database | GGA-PBE | relaxed
# Calculated total energy (eV per atom): -3.100
# Energy above the lowest structure with this stoichiometry (eV/f.u.): 0.00
# Crystal system: tetragonal
data_Li2ZnHPd
_chemical_formula_sum 'Li2 Zn1 H1 Pd1'
_space_group_name_H-M_alt 'P 4/m m m'
_space_group_IT_number 123
_space_group_name_Hall '-P 4 2'
_cell_length_a 3.917
_cell_length_b 3.917
_cell_length_c 3.801
_cell_angle_alpha 90.00
_cell_angle_beta 90.00
_cell_angle_gamma 90.00
loop_
_atom_site_label
_atom_site_fract_x
_atom_site_fract_y
_atom_site_fract_z
Li1 0.000 0.500 0.000
Zn1 0.000 0.000 0.500
H1 0.500 0.500 0.000
Pd1 0.500 0.500 0.500

calculated total energy of number 1 (Li2ZnH6Pd)?
-3.185 eV per atom

The highest calculated total energy belongs to which entry?
LiZn2HPd